# 1
Below is a relaxed structure of NaAsO3, with properties calculated at the PBE level.

The structure in POSCAR format:
```
NaAsO3
1.0
7.452 -0.013 -0.007
-0.056 7.610 -0.008
-0.384 -1.977 8.014
Na As O
6 6 18
Cartesian
5.310 2.787 6.376 Na
1.702 2.832 1.623 Na
5.255 -1.116 6.228 Na
1.757 6.736 1.771 Na
7.109 0.886 4.090 Na
-0.097 4.734 3.909 Na
3.915 4.717 3.075 As
3.097 0.903 4.924 As
5.694 6.885 1.337 As
1.318 -1.266 6.662 As
5.655 2.508 1.404 As
1.357 3.112 6.595 As
4.974 0.868 1.618 O
2.033 0.850 3.638 O
2.250 4.761 3.212 O
4.762 0.859 4.787 O
4.203 6.010 1.845 O
2.809 -0.390 6.154 O
0.082 2.855 5.530 O
6.930 2.765 2.469 O
0.077 -1.030 5.561 O
6.935 6.650 2.438 O
1.569 4.758 0.206 O
4.141 3.255 2.042 O
1.491 0.943 0.286 O
5.521 4.677 7.713 O
2.039 4.752 6.381 O
5.444 0.862 7.793 O
2.872 2.365 5.957 O
4.980 4.770 4.361 O
```

Theoretical density ... 3.20 Mg/m³
Formation energy from raw total energies ... -1.471 eV per atom
Raw total energy ... -5.639 eV/atom
N(E_F) ... 0.0 states/eV/f.u.
Total magnetic moment ... 0.01 μB/atom


# 2
Below is a relaxed structure of NaAsO6, with properties calculated at the PBE level.

The structure in POSCAR format:
```
NaAsO6
1.0
-4.364 -1.082 -2.398
4.123 -2.681 -6.292
0.851 -6.737 1.491
Na As O
2 2 12
Cartesian
2.324 -9.100 -5.048 Na
-3.502 -1.844 -3.134 Na
3.223 -5.442 -5.332 As
-1.981 -4.901 -1.521 As
2.830 -4.129 -6.362 O
-2.518 -6.445 -1.001 O
-3.468 -3.943 -1.998 O
2.493 -6.950 -6.073 O
0.408 -2.163 -3.159 O
-0.351 -8.473 -4.344 O
-0.789 -2.338 -2.845 O
-0.720 -8.688 -5.520 O
1.070 -5.995 -2.848 O
-1.185 -4.684 -4.749 O
-0.063 -4.454 -5.224 O
1.295 -5.892 -1.633 O
```

Theoretical density ... 2.33 Mg/m³
Polymorph energy (0 for the lowest one) ... 0.24 eV per formula unit
Formation energy from raw total energies ... -0.683 eV per atom
Raw total energy ... -5.148 eV/atom
N(E_F) ... 1.9 states/eV/f.u.
Total magnetic moment ... 0.47 μB/atom